(1)
First-principles (PBE-GGA) data for a geometry-optimized AcLa2Pm5Pr structure, as listed in Alexandria via LeMat-Bulk.

abc: 8.9865 8.9865 10.3285
angles: 115.79 115.79 90.00
Closest atoms and distances in Å follow each position.
Atoms (fractional coordinates):
La  0.8834  0.6166  0.0000  1 La 2.96, 2 Pm 3.08
La  0.1166  0.3834  0.0000  1 La 2.96, 2 Pm 3.08
La  0.3834  0.8834  0.0000  1 La 2.96, 2 Pm 3.08
La  0.6166  0.1166  0.0000  1 La 2.96, 2 Pm 3.08
Pm  0.5000  0.5000  0.0000  4 La 3.60, 8 Pm 3.90
Pm  0.3512  0.8512  0.2717  1 La 3.08, 1 Ac 3.31
Pm  0.0795  0.5795  0.7283  1 La 3.08, 1 Ac 3.31
Pm  0.9205  0.4205  0.2717  1 La 3.08, 1 Ac 3.31
Pm  0.4205  0.3512  0.2717  1 La 3.08, 1 Ac 3.31
Pm  0.5795  0.6488  0.7283  1 La 3.08, 1 Ac 3.31
Pm  0.1488  0.0795  0.7283  1 La 3.08, 1 Ac 3.31
Pm  0.8512  0.9205  0.2717  1 La 3.08, 1 Ac 3.31
Pm  0.6488  0.1488  0.7283  1 La 3.08, 1 Ac 3.31
Pm  0.0000  0.0000  0.0000  4 La 3.60, 8 Pm 3.90
Ac  0.2500  0.7500  0.5000  4 Pm 3.31
Ac  0.7500  0.2500  0.5000  4 Pm 3.31
Pr  0.7500  0.7500  0.5000  10 Pm 3.71-4.07
Pr  0.2500  0.2500  0.5000  10 Pm 3.71-4.07

Results
symmetry = No. 140
final energy = -4.482 eV per atom
ΔE_f = 0.2400 eV per atom

(2)
First-principles (PBE-GGA) data for a geometry-optimized K3PrDy2O6 structure, as listed in Alexandria via LeMat-Bulk.

abc: 6.1496 6.1496 6.6089
angles: 98.92 98.92 120.01
Closest atoms and distances in Å follow each position.
Atoms (fractional coordinates):
O  0.9376  0.5919  0.8127  2 Dy 2.33, 1 Pr 2.43
O  0.4081  0.0624  0.1873  2 Dy 2.33, 1 Pr 2.43
O  0.7168  0.7168  0.1877  2 Dy 2.33, 1 Pr 2.43
O  0.5919  0.9376  0.8127  2 Dy 2.33, 1 Pr 2.43
O  0.2832  0.2832  0.8123  2 Dy 2.33, 1 Pr 2.43
O  0.0624  0.4081  0.1873  2 Dy 2.33, 1 Pr 2.43
Dy  0.3333  0.6667  0.0000  6 O 2.33
Dy  0.6667  0.3333  0.0000  6 O 2.33
K  0.8315  0.1685  0.5000  6 O 2.77-2.88
K  0.5000  0.5000  0.5000  6 O 2.78-2.87
K  0.1685  0.8315  0.5000  6 O 2.77-2.88
Pr  0.0000  0.0000  0.0000  6 O 2.43

Results
symmetry = No. 12
raw formation energy = -2696 meV per atom
final energy = -6.615 eV per atom

no.,M_tot (Bohr magnetons per cell)
1,0.0
2,0.0